Material: CaPdS
Method: DFT, PBE-GGA
State: relaxed

a = 4.4327 Å, b = 10.2660 Å, c = 5.5434 Å
α = 90.00°, β = 90.14°, γ = 90.00°
Last column: nearest neighbours and their distance in Å.
Space group Cc (No. 9)
One atom of each set of equivalent atoms:
Ca (0.0000, 0.1430, 0.0000)  3 S 2.77-2.94, 1 Pd 2.94
Pd (0.0009, 0.4289, 0.0397)  2 S 2.34-2.35
S (0.0000, 0.1435, 0.5009)  2 Pd 2.34-2.35

V ... 63.1 Å³/f.u.
Formation energy without anion corrections ... -1.201 eV/atom
Total DFT energy (no corrections) ... -4.98 eV per atom
DOS at the Fermi energy ... 0.0 states/eV/f.u.